Material: TbDy12Tm3
Method: DFT, PBE
State: relaxed

Lattice parameters (Å, degrees): 4.987 4.987 19.930 90.00 90.00 90.00
Space group P4/mmm (No. 123)
Unique sites:
Tb 0.000 0.000 0.000 [1 per cell]
Dy 0.000 0.500 0.126 [4 per cell]
Dy 0.000 0.500 0.375 [4 per cell]
Dy 0.500 0.500 0.000 [1 per cell]
Dy 0.500 0.500 0.251 [2 per cell]
Dy 0.500 0.500 0.500 [1 per cell]
Tm 0.000 0.000 0.251 [2 per cell]
Tm 0.000 0.000 0.500 [1 per cell]

Values from the calculation:
Calculated formation energy: 1.90 kJ per mole of atoms